Entry from Alexandria via LeMat-Bulk: crystalline MgCo2F at its relaxed geometry (PBE+U).

For the excess energy over the best structure of this formula in the dataset, the calculation gives 329 meV per atom. Its magnetic moment is 4.10 μB/f.u. Its total energy is -46.6 eV per cell.

Unit cell a=6.227 b=6.227 c=6.227 alpha=90.00 beta=90.00 gamma=90.00
Space group Fm-3m (No. 225)
Unique sites:
Mg (0.000, 0.000, 0.000) x4
Co (0.250, 0.250, 0.250) x8
F (0.000, 0.000, 0.500) x4